Sr2FePt: relaxed, PBE.

a b c (Å): 8.314 8.314 6.327
angles (deg): 90.00 90.00 90.00
Fractional positions:
1 Sr 0.227 0.250 0.125
2 Sr 0.250 0.727 0.375
3 Sr 0.250 0.773 0.875
4 Sr 0.273 0.250 0.625
5 Sr 0.727 0.750 0.625
6 Sr 0.750 0.227 0.875
7 Sr 0.750 0.273 0.375
8 Sr 0.773 0.750 0.125
9 Fe 0.000 0.000 0.500
10 Fe 0.000 0.500 0.750
11 Fe 0.500 0.000 0.250
12 Fe 0.500 0.500 0.000
13 Pt 0.000 0.000 0.000
14 Pt 0.000 0.500 0.250
15 Pt 0.500 0.000 0.750
16 Pt 0.500 0.500 0.500

Calculated values
Excess energy over the best structure of this formula in the dataset ... 519 meV/atom
SG ... I-42d
Energy of formation ... 32 kJ/mol of atoms